{
  "formula": "Ni5Sb3",
  "functional": "PBE",
  "state": "relaxed",
  "space_group": "Cmmm (65)",
  "de_polymorph_ev_per_atom": 0.077,
  "cell": [[3.225, -4.656, 0.000], [3.225, 4.656, 0.000], [0.000, 0.000, 4.087]],
  "species": ["Ni", "Ni", "Ni", "Ni", "Ni", "Sb", "Sb", "Sb"],
  "frac_coords": [[0.000, 0.000, 0.000], [0.000, 0.500, 0.000], [0.284, 0.284, 0.500], [0.500, 0.000, 0.000], [0.716, 0.716, 0.500], [0.189, 0.811, 0.500], [0.500, 0.500, 0.000], [0.811, 0.189, 0.500]]
}